PmGdScCd | PBE | relaxed

```
PmGdScCd
1.0
7.647 0.000 0.000
0.000 7.647 0.000
0.000 0.000 7.647
Pm Gd Sc Cd
4 4 4 4
Direct
0.000 0.000 0.000
0.000 0.500 0.500
0.500 0.000 0.500
0.500 0.500 0.000
0.000 0.000 0.500
0.000 0.500 0.000
0.500 0.000 0.000
0.500 0.500 0.500
0.250 0.250 0.750
0.250 0.750 0.250
0.750 0.250 0.250
0.750 0.750 0.750
0.250 0.250 0.250
0.250 0.750 0.750
0.750 0.250 0.750
0.750 0.750 0.250
```

Results
Energy of formation (eV per atom): -0.058
V (Å³ per atom): 27.946
Crystal system: cubic

---

PmGdCdTc | PBE | relaxed

```
PmGdCdTc
1.0
7.250 0.000 0.000
0.000 7.250 0.000
0.000 0.000 7.250
Pm Gd Cd Tc
4 4 4 4
Direct
0.000 0.000 0.000
0.000 0.500 0.500
0.500 0.000 0.500
0.500 0.500 0.000
0.000 0.000 0.500
0.000 0.500 0.000
0.500 0.000 0.000
0.500 0.500 0.500
0.250 0.250 0.250
0.250 0.750 0.750
0.750 0.250 0.750
0.750 0.750 0.250
0.250 0.250 0.750
0.250 0.750 0.250
0.750 0.250 0.250
0.750 0.750 0.750
```

Results
Energy of formation (eV per atom): -0.030
V (Å³ per atom): 23.815
Crystal system: cubic

---

PmGdYCd | PBE | relaxed

```
PmGdYCd
1.0
7.785 0.000 0.000
0.000 7.785 0.000
0.000 0.000 7.785
Pm Gd Y Cd
4 4 4 4
Direct
0.000 0.000 0.000
0.000 0.500 0.500
0.500 0.000 0.500
0.500 0.500 0.000
0.250 0.250 0.250
0.250 0.750 0.750
0.750 0.250 0.750
0.750 0.750 0.250
0.250 0.250 0.750
0.250 0.750 0.250
0.750 0.250 0.250
0.750 0.750 0.750
0.000 0.000 0.500
0.000 0.500 0.000
0.500 0.000 0.000
0.500 0.500 0.500
```

Results
Energy of formation (eV per atom): -0.014
V (Å³ per atom): 29.485
Crystal system: cubic

---

PrGd2Cd | PBE | relaxed

```
PrGd2Cd
1.0
3.668 0.000 0.000
0.000 3.668 0.000
0.000 0.000 9.147
Pr Gd Cd
1 2 1
Direct
0.000 0.000 0.000
0.500 0.500 0.279
0.500 0.500 0.721
0.000 0.000 0.500
```

Results
ΔE to the lowest computed polymorph (eV/f.u.): 0.00
Energy of formation (eV per atom): -0.157
V (Å³ per atom): 30.770
Crystal system: tetragonal

---

PrGd2Cd | PBE | relaxed

```
PrGd2Cd
1.0
7.790 0.000 0.000
0.000 7.790 0.000
0.000 0.000 7.790
Pr Gd Cd
4 8 4
Direct
0.000 0.000 0.000
0.000 0.500 0.500
0.500 0.000 0.500
0.500 0.500 0.000
0.250 0.250 0.250
0.250 0.250 0.750
0.250 0.750 0.250
0.250 0.750 0.750
0.750 0.250 0.250
0.750 0.250 0.750
0.750 0.750 0.250
0.750 0.750 0.750
0.000 0.000 0.500
0.000 0.500 0.000
0.500 0.000 0.000
0.500 0.500 0.500
```

Results
ΔE to the lowest computed polymorph (eV/f.u.): 0.49
Energy of formation (eV per atom): -0.036
V (Å³ per atom): 29.541
Crystal system: cubic

---

PrGdCd2 | PBE | relaxed

```
PrGdCd2
1.0
3.820 0.000 0.000
0.000 3.820 0.000
0.000 0.000 7.695
Pr Gd Cd
1 1 2
Direct
0.000 0.000 0.000
0.000 0.000 0.500
0.500 0.500 0.263
0.500 0.500 0.737
```

Results
ΔE to the lowest computed polymorph (eV/f.u.): 0.02
Energy of formation (eV per atom): -0.332
V (Å³ per atom): 28.075
Crystal system: tetragonal

---

PrGd2Cd | PBE | relaxed

```
PrGd2Cd
1.0
4.928 0.000 0.000
0.000 4.928 0.000
0.000 0.000 4.965
Pr Gd Cd
1 2 1
Direct
0.000 0.000 0.000
0.000 0.500 0.500
0.500 0.000 0.500
0.500 0.500 0.000
```

Results
ΔE to the lowest computed polymorph (eV/f.u.): 0.15
Energy of formation (eV per atom): -0.119
V (Å³ per atom): 30.141
Crystal system: tetragonal

---

PrGd2Cd | PBE | relaxed

```
PrGd2Cd
1.0
3.532 0.000 0.000
-1.766 3.058 0.000
0.000 0.000 36.867
Pr Gd Cd
3 6 3
Direct
0.000 0.000 0.000
0.333 0.667 0.667
0.667 0.333 0.333
0.000 0.000 0.412
0.000 0.000 0.588
0.333 0.667 0.079
0.333 0.667 0.254
0.667 0.333 0.746
0.667 0.333 0.921
0.000 0.000 0.500
0.333 0.667 0.167
0.667 0.333 0.833
```

Results
ΔE to the lowest computed polymorph (eV/f.u.): 1.31
Energy of formation (eV per atom): 0.171
V (Å³ per atom): 33.183
Crystal system: trigonal

---

PrGdCd2 | PBE | relaxed

```
PrGdCd2
1.0
7.663 0.000 0.000
0.000 7.663 0.000
0.000 0.000 7.663
Pr Gd Cd
4 4 8
Direct
0.000 0.000 0.000
0.000 0.500 0.500
0.500 0.000 0.500
0.500 0.500 0.000
0.000 0.000 0.500
0.000 0.500 0.000
0.500 0.000 0.000
0.500 0.500 0.500
0.250 0.250 0.250
0.250 0.250 0.750
0.250 0.750 0.250
0.250 0.750 0.750
0.750 0.250 0.250
0.750 0.250 0.750
0.750 0.750 0.250
0.750 0.750 0.750
```

Results
ΔE to the lowest computed polymorph (eV/f.u.): 0.00
Energy of formation (eV per atom): -0.337
V (Å³ per atom): 28.122
Crystal system: cubic

---

PrGdPuCd | PBE | relaxed

```
PrGdPuCd
1.0
7.780 0.000 0.000
0.000 7.780 0.000
0.000 0.000 7.780
Pr Gd Pu Cd
4 4 4 4
Direct
0.000 0.000 0.000
0.000 0.500 0.500
0.500 0.000 0.500
0.500 0.500 0.000
0.000 0.000 0.500
0.000 0.500 0.000
0.500 0.000 0.000
0.500 0.500 0.500
0.250 0.250 0.250
0.250 0.750 0.750
0.750 0.250 0.750
0.750 0.750 0.250
0.250 0.250 0.750
0.250 0.750 0.250
0.750 0.250 0.250
0.750 0.750 0.750
```

Results
Energy of formation (eV per atom): 0.059
V (Å³ per atom): 29.431
Crystal system: cubic

---

PrGdCdRu | PBE | relaxed

```
PrGdCdRu
1.0
7.299 0.000 0.000
0.000 7.299 0.000
0.000 0.000 7.299
Pr Gd Cd Ru
4 4 4 4
Direct
0.000 0.000 0.000
0.000 0.500 0.500
0.500 0.000 0.500
0.500 0.500 0.000
0.000 0.000 0.500
0.000 0.500 0.000
0.500 0.000 0.000
0.500 0.500 0.500
0.250 0.250 0.750
0.250 0.750 0.250
0.750 0.250 0.250
0.750 0.750 0.750
0.250 0.250 0.250
0.250 0.750 0.750
0.750 0.250 0.750
0.750 0.750 0.250
```

Results
Energy of formation (eV per atom): -0.187
V (Å³ per atom): 24.307
Crystal system: cubic

---

PrGdCdSb | PBE | relaxed

```
PrGdCdSb
1.0
7.677 0.000 0.000
0.000 7.677 0.000
0.000 0.000 7.677
Pr Gd Cd Sb
4 4 4 4
Direct
0.000 0.000 0.000
0.000 0.500 0.500
0.500 0.000 0.500
0.500 0.500 0.000
0.000 0.000 0.500
0.000 0.500 0.000
0.500 0.000 0.000
0.500 0.500 0.500
0.250 0.250 0.250
0.250 0.750 0.750
0.750 0.250 0.750
0.750 0.750 0.250
0.250 0.250 0.750
0.250 0.750 0.250
0.750 0.250 0.250
0.750 0.750 0.750
```

Results
V (Å³ per atom): 28.277
Formation energy without anion corrections (eV per atom): -0.5788
Crystal system: cubic

---

PrGdScCd | PBE | relaxed

```
PrGdScCd
1.0
7.694 0.000 0.000
0.000 7.694 0.000
0.000 0.000 7.694
Pr Gd Sc Cd
4 4 4 4
Direct
0.000 0.000 0.000
0.000 0.500 0.500
0.500 0.000 0.500
0.500 0.500 0.000
0.000 0.000 0.500
0.000 0.500 0.000
0.500 0.000 0.000
0.500 0.500 0.500
0.250 0.250 0.750
0.250 0.750 0.250
0.750 0.250 0.250
0.750 0.750 0.750
0.250 0.250 0.250
0.250 0.750 0.750
0.750 0.250 0.750
0.750 0.750 0.250
```

Results
Energy of formation (eV per atom): -0.057
V (Å³ per atom): 28.467
Crystal system: cubic

---

TbPrGdCd | PBE | relaxed

```
TbPrGdCd
1.0
7.840 0.000 0.000
0.000 7.840 0.000
0.000 0.000 7.840
Tb Pr Gd Cd
4 4 4 4
Direct
0.000 0.000 0.000
0.000 0.500 0.500
0.500 0.000 0.500
0.500 0.500 0.000
0.250 0.250 0.250
0.250 0.750 0.750
0.750 0.250 0.750
0.750 0.750 0.250
0.250 0.250 0.750
0.250 0.750 0.250
0.750 0.250 0.250
0.750 0.750 0.750
0.000 0.000 0.500
0.000 0.500 0.000
0.500 0.000 0.000
0.500 0.500 0.500
```

Results
Energy of formation (eV per atom): -0.038
V (Å³ per atom): 30.124
Crystal system: cubic

---

PrGdCdTc | PBE | relaxed

```
PrGdCdTc
1.0
7.303 0.000 0.000
0.000 7.303 0.000
0.000 0.000 7.303
Pr Gd Cd Tc
4 4 4 4
Direct
0.000 0.000 0.000
0.000 0.500 0.500
0.500 0.000 0.500
0.500 0.500 0.000
0.000 0.000 0.500
0.000 0.500 0.000
0.500 0.000 0.000
0.500 0.500 0.500
0.250 0.250 0.250
0.250 0.750 0.750
0.750 0.250 0.750
0.750 0.750 0.250
0.250 0.250 0.750
0.250 0.750 0.250
0.750 0.250 0.250
0.750 0.750 0.750
```

Results
Energy of formation (eV per atom): 0.003
V (Å³ per atom): 24.346
Crystal system: cubic

---

PrGdTlCd | PBE | relaxed

```
PrGdTlCd
1.0
7.719 0.000 0.000
0.000 7.719 0.000
0.000 0.000 7.719
Pr Gd Tl Cd
4 4 4 4
Direct
0.000 0.000 0.000
0.000 0.500 0.500
0.500 0.000 0.500
0.500 0.500 0.000
0.000 0.000 0.500
0.000 0.500 0.000
0.500 0.000 0.000
0.500 0.500 0.500
0.250 0.250 0.750
0.250 0.750 0.250
0.750 0.250 0.250
0.750 0.750 0.750
0.250 0.250 0.250
0.250 0.750 0.750
0.750 0.250 0.750
0.750 0.750 0.250
```

Results
Energy of formation (eV per atom): -0.373
V (Å³ per atom): 28.743
Crystal system: cubic